1.
## Tb2Ga3Co14 (PBEsol)

Data for a geometry-optimized Tb2Ga3Co14 structure.

- density (Mg/m³) = 9.5
- total magnetic moment (μB per formula unit) = 16.923
- crystal system = trigonal
- V (Å³ per atom) = 12.49
- space group = R3m (160)
- calculated formation energy (meV/atom) = -220

Structure (POSCAR):
```
Tb2Ga3Co14
1.0
4.122 2.380 4.031
-4.122 2.380 4.031
0.000 -4.760 4.031
Tb Ga Co
2 3 14
Direct
0.000 0.000 0.000
0.327 0.327 0.327
0.008 0.008 0.504
0.008 0.504 0.008
0.504 0.008 0.008
0.163 0.654 0.654
0.319 0.319 0.802
0.319 0.802 0.319
0.373 0.657 0.944
0.373 0.944 0.657
0.564 0.564 0.564
0.654 0.163 0.654
0.654 0.654 0.163
0.657 0.373 0.944
0.657 0.944 0.373
0.751 0.751 0.751
0.802 0.319 0.319
0.944 0.373 0.657
0.944 0.657 0.373
```



2.
## Ti3GaCo (PBEsol)

Data for a geometry-optimized Ti3GaCo structure.

- density (Mg/m³) = 5.3
- total magnetic moment (μB per formula unit) = 0.000
- crystal system = cubic
- V (Å³ per atom) = 17.14
- space group = Pm-3m (221)
- calculated formation energy (meV/atom) = 115

Structure (POSCAR):
```
Ti3GaCo
1.0
4.409 0.000 0.000
0.000 4.409 0.000
0.000 0.000 4.409
Ti Ga Co
3 1 1
Direct
0.000 0.000 0.500
0.000 0.500 0.000
0.500 0.000 0.000
0.500 0.500 0.500
0.000 0.000 0.000
```



3.
## TiGaCo3 (PBEsol)

Data for a geometry-optimized TiGaCo3 structure.

- density (Mg/m³) = 6.8
- total magnetic moment (μB per formula unit) = 0.000
- crystal system = cubic
- V (Å³ per atom) = 14.35
- space group = Pm-3m (221)
- calculated formation energy (meV/atom) = 785

Structure (POSCAR):
```
TiGaCo3
1.0
4.155 0.000 0.000
0.000 4.155 0.000
0.000 0.000 4.155
Ti Ga Co
1 1 3
Direct
0.000 0.000 0.000
0.500 0.500 0.500
0.000 0.500 0.500
0.500 0.000 0.500
0.500 0.500 0.000
```



4.
## TiGa5Co (PBEsol)

Data for a geometry-optimized TiGa5Co structure.

- density (Mg/m³) = 7.3
- total magnetic moment (μB per formula unit) = 0.001
- crystal system = tetragonal
- V (Å³ per atom) = 14.73
- space group = P4/mmm (123)
- calculated formation energy (meV/atom) = -394

Structure (POSCAR):
```
TiGa5Co
1.0
4.011 0.000 0.000
0.000 4.011 0.000
0.000 0.000 6.412
Ti Ga Co
1 5 1
Direct
0.000 0.000 0.000
0.000 0.500 0.297
0.000 0.500 0.703
0.500 0.000 0.297
0.500 0.000 0.703
0.500 0.500 0.000
0.000 0.000 0.500
```